Entry 1:
Crystalline Nd3TeN at its relaxed geometry, computed with GGA-PBE.

## Properties
Symmetry: No. 221
Energy relative to the elements, uncorrected in eV/atom: -0.909
DFT total energy in eV/atom: -6.06
DOS at the Fermi energy in states/eV per cell: 3.067
Relative energy among the computed polymorphs in eV/atom: 0.0000

Cell lengths 4.9957, 4.9957, 4.9957 Å; angles 90.00, 90.00, 90.00 degrees
With the nearest neighbours (Å) after each atom.
Atoms (fractional coordinates):
Te: 0.5000 0.5000 0.5000  12 Nd 3.53
Nd: 0.0000 0.5000 0.0000  2 N 2.50
Nd: 0.0000 0.0000 0.5000  2 N 2.50
Nd: 0.5000 0.0000 0.0000  2 N 2.50
N: 0.0000 0.0000 0.0000  6 Nd 2.50

Entry 2:
Crystalline Nd3TeN2 at its relaxed geometry, computed with GGA-PBE.

## Properties
Symmetry: No. 15
Energy relative to the elements, uncorrected in eV/atom: -1.260
DFT total energy in eV/atom: -6.94
DOS at the Fermi energy in states/eV per cell: 6.621
Relative energy among the computed polymorphs in eV/atom: 0.0000

Cell lengths 7.9800, 6.9358, 8.1985 Å; angles 50.56, 60.88, 54.88 degrees
With the nearest neighbours (Å) after each atom.
Atoms (fractional coordinates):
Nd: 0.0775 0.8656 0.2292  3 N 2.40-2.49
Nd: 0.9225 0.1344 0.7708  3 N 2.40-2.49
Nd: 0.6723 0.6344 0.2708  3 N 2.40-2.49
Nd: 0.5000 0.0000 0.5000  4 N 2.52-2.63
Nd: 0.5000 0.5000 0.0000  4 N 2.52-2.63
Nd: 0.3277 0.3656 0.7292  3 N 2.40-2.49
Te: 0.1588 0.2500 0.2500  6 Nd 3.18-3.46
Te: 0.8412 0.7500 0.7500  6 Nd 3.18-3.46
N: 0.2436 0.9883 0.8604  5 Nd 2.40-2.63
N: 0.4077 0.4883 0.3604  5 Nd 2.40-2.63
N: 0.5923 0.5117 0.6396  5 Nd 2.40-2.63
N: 0.7564 0.0117 0.1396  5 Nd 2.40-2.63